Entry 1:
Here is a relaxed structure of BaCr3Pb from Alexandria via LeMat-Bulk. Energies are from PBE-GGA.

a b c (Å): 5.435 5.435 5.435
angles (deg): 90.00 90.00 90.00
Each line ends with the local moment (μB).
Fractional positions:
Pb 0.000 0.000 0.000  -0.09
Cr 0.000 0.500 0.000  4.00
Cr 0.000 0.000 0.500  4.00
Cr 0.500 0.000 0.000  3.89
Ba 0.500 0.500 0.500  0.10

Output
M_tot = 13.957 Bohr magnetons per cell
distance to the lowest polymorph of the same formula = 0.000 eV/atom
calculated total energy = -29.2 eV/cell



Entry 2:
Here is a relaxed structure of PmCd3Pt8 from Alexandria via LeMat-Bulk. Energies are from PBE-GGA.

a b c (Å): 5.406 5.406 9.317
angles (deg): 73.13 73.13 60.00
Fractional positions:
Pm 0.877 0.877 0.370
Cd 0.372 0.372 0.885
Cd 0.005 0.005 0.985
Cd 0.491 0.491 0.527
Pt 0.938 0.439 0.184
Pt 0.436 0.939 0.687
Pt 0.439 0.439 0.184
Pt 0.939 0.939 0.687
Pt 0.188 0.188 0.435
Pt 0.688 0.688 0.936
Pt 0.439 0.938 0.184
Pt 0.939 0.436 0.687

Output
M_tot = 0.000 Bohr magnetons per cell
calculated total energy = -61.7 eV/cell



Entry 3:
Here is a relaxed structure of Na12Bi7Pb from Alexandria via LeMat-Bulk. Energies are from PBE-GGA.

a b c (Å): 8.909 8.909 8.909
angles (deg): 96.21 96.21 96.21
Fractional positions:
Na 0.737 0.220 0.836
Na 0.780 0.164 0.263
Na 0.451 0.158 0.411
Na 0.842 0.589 0.549
Na 0.164 0.263 0.780
Na 0.589 0.549 0.842
Na 0.411 0.451 0.158
Na 0.836 0.737 0.220
Na 0.158 0.411 0.451
Na 0.549 0.842 0.589
Na 0.220 0.836 0.737
Na 0.263 0.780 0.164
Bi 0.971 0.616 0.887
Bi 0.384 0.113 0.029
Bi 0.113 0.029 0.384
Bi 0.500 0.500 0.500
Bi 0.887 0.971 0.616
Bi 0.616 0.887 0.971
Bi 0.029 0.384 0.113
Pb 0.000 0.000 0.000

Output
M_tot = 0.000 Bohr magnetons per cell
calculated total energy = -50.3 eV/cell



Entry 4:
Here is a relaxed structure of Na3ZnSn from Alexandria via LeMat-Bulk. Energies are from PBE-GGA.

a b c (Å): 7.404 7.404 7.337
angles (deg): 106.69 120.15 102.57
Fractional positions:
Na 0.819 0.010 0.226
Na 0.217 0.407 0.226
Na 0.783 0.593 0.774
Na 0.734 0.447 0.181
Na 0.181 0.990 0.774
Na 0.266 0.553 0.819
Zn 0.648 0.770 0.419
Zn 0.352 0.230 0.581
Sn 0.684 0.079 0.763
Sn 0.316 0.921 0.237

Output
M_tot = 0.000 Bohr magnetons per cell
distance to the lowest polymorph of the same formula = 0.000 eV/atom
calculated total energy = -18.5 eV/cell



Which value of calculated total energy does entry 2 give? -61.7 eV/cell



The highest calculated total energy belongs to which entry? Na3ZnSn